(1)
Material: CaCo2HgIr
Method: DFT, PBE
State: relaxed

Lattice parameters (Å, degrees): 4.774 5.124 4.774 90.00 90.00 90.00
Positions (direct):
Co 0.000 0.000 0.500
Co 0.500 0.000 0.000
Ir 0.000 0.500 0.000
Hg 0.000 0.000 0.000
Ca 0.500 0.500 0.500

Values from the calculation:
Energy relative to the elements (eV/atom): 1.186
V (A^3/atom): 23.360

(2)
Material: CaLa2CoHg
Method: DFT, PBE
State: relaxed

Lattice parameters (Å, degrees): 5.186 5.186 5.639 90.00 90.00 90.00
Positions (direct):
La 0.500 0.000 0.000
La 0.000 0.500 0.000
Co 0.000 0.000 0.000
Ca 0.000 0.000 0.500
Hg 0.500 0.500 0.500

Values from the calculation:
Energy relative to the elements (eV/atom): -0.190
V (A^3/atom): 30.333

(3)
Material: CaLa2CoHg
Method: DFT, PBE
State: relaxed

Lattice parameters (Å, degrees): 5.272 5.272 5.317 90.00 90.00 90.00
Positions (direct):
La 0.500 0.000 0.000
La 0.000 0.500 0.000
Co 0.000 0.000 0.000
Hg 0.000 0.000 0.500
Ca 0.500 0.500 0.500

Values from the calculation:
Energy relative to the elements (eV/atom): -0.141
V (A^3/atom): 29.556

(4)
Material: LiCaCoHg2
Method: DFT, PBE
State: relaxed

Lattice parameters (Å, degrees): 5.791 4.958 5.791 90.00 90.00 90.00
Positions (direct):
Co 0.000 0.500 0.000
Li 0.500 0.500 0.500
Hg 0.000 0.000 0.500
Hg 0.500 0.000 0.000
Ca 0.000 0.000 0.000

Values from the calculation:
Energy relative to the elements (eV/atom): 0.721
V (A^3/atom): 33.250

(5)
Material: CaCoHgS2
Method: DFT, PBE
State: relaxed

Lattice parameters (Å, degrees): 4.668 4.837 4.668 90.00 90.00 90.00
Positions (direct):
Hg 0.000 0.500 0.000
S 0.500 0.000 0.000
S 0.000 0.000 0.500
Co 0.000 0.000 0.000
Ca 0.500 0.500 0.500

Values from the calculation:
E_form (uncorrected) (eV per atom): -0.37
V (A^3/atom): 21.078

(6)
Material: CaCoSn2Hg
Method: DFT, PBE
State: relaxed

Lattice parameters (Å, degrees): 4.867 4.867 5.424 90.00 90.00 90.00
Positions (direct):
Sn 0.000 0.500 0.000
Sn 0.500 0.000 0.000
Ca 0.000 0.000 0.500
Co 0.000 0.000 0.000
Hg 0.500 0.500 0.500

Values from the calculation:
Energy relative to the elements (eV/atom): -0.183
V (A^3/atom): 25.696